This record from Alexandria via LeMat-Bulk describes a geometry-optimized CdRh2W structure. The functional is PBEsol.

Unit cell a=2.8303 b=2.8303 c=7.5821 alpha=90.00 beta=90.00 gamma=90.00
Closest atoms and distances in Å follow each position.
Fractional coordinates of all 4 atoms:
Cd 0.0000 0.0000 0.0000  4 Cd 2.83, 8 Rh 2.86
Rh 0.5000 0.5000 0.2686  4 W 2.66, 4 Rh 2.83, 4 Cd 2.86
Rh 0.5000 0.5000 0.7314  4 W 2.66, 4 Rh 2.83, 4 Cd 2.86
W 0.0000 0.0000 0.5000  8 Rh 2.66, 4 W 2.83

Properties
**Crystal system**: tetragonal
**Formation energy from the elements**: -201 meV per atom
**Magnetization**: 0.000 μB/f.u.
**Uncorrected energy**: -8.02 eV/atom
**DOS(E_F)**: 0.463 states/eV per atom